No. 1
A plane-wave DFT calculation with PBE was carried out for an optimized crystal structure of LiBe2Sb.

Calculated values
spin magnetization	0.0	μB per formula unit
symmetry	Pmmm
electronic total energy	-3.046	eV per atom
raw formation energy	326	meV per atom
N(E_F)	1.056	states/eV/f.u.

POSCAR file:
```
LiBe2Sb
1.0
3.495 0.000 0.000
0.000 3.541 0.000
0.000 0.000 4.946
Li Be Sb
1 2 1
direct
0.000 0.000 0.000
0.500 0.500 0.260
0.500 0.500 0.740
0.000 0.000 0.500
```

No. 2
A plane-wave DFT calculation with PBE was carried out for an optimized crystal structure of LiBeSb.

Calculated values
spin magnetization	0.0	μB per formula unit
symmetry	Fmm2
electronic total energy	-3.145	eV per atom
raw formation energy	109	meV per atom
N(E_F)	0.925	states/eV/f.u.

POSCAR file:
```
LiBeSb
1.0
0.000 2.635 3.699
2.629 0.000 3.699
2.629 2.635 0.000
Li Be Sb
1 1 1
direct
0.000 0.000 0.000
0.684 0.684 0.316
0.340 0.340 0.660
```

No. 3
A plane-wave DFT calculation with PBE was carried out for an optimized crystal structure of LiBe3Sb.

Calculated values
spin magnetization	0.0	μB per formula unit
symmetry	Pm-3m
electronic total energy	-2.260	eV per atom
raw formation energy	1183	meV per atom
polymorph energy (0 for the lowest one)	0.221	eV/atom
N(E_F)	4.119	states/eV/f.u.

POSCAR file:
```
LiBe3Sb
1.0
4.779 0.000 0.000
0.000 4.779 0.000
0.000 0.000 4.779
Li Be Sb
1 3 1
direct
0.000 0.000 0.000
0.000 0.500 0.500
0.500 0.000 0.500
0.500 0.500 0.000
0.500 0.500 0.500
```

No. 4
A plane-wave DFT calculation with PBE was carried out for an optimized crystal structure of LiBe2Sb.

Calculated values
spin magnetization	0.0	μB per formula unit
symmetry	Imm2
electronic total energy	-3.086	eV per atom
raw formation energy	287	meV per atom
N(E_F)	1.210	states/eV/f.u.

POSCAR file:
```
LiBe2Sb
1.0
-1.899 1.905 3.901
1.899 -1.905 3.901
1.899 1.905 -3.901
Li Be Sb
1 2 1
direct
0.000 0.000 0.000
0.508 0.508 0.000
0.745 0.245 0.500
0.252 0.752 0.500
```